Entry 1:
Below is BaAgSb2Te after structural relaxation, with properties calculated at the PBE-GGA level.

Space group: No. 123
Crystal system: tetragonal
Formation energy (no corrections) (eV per formula unit): -1.11

Cell lengths 5.4223, 5.4223, 5.7507 Å; angles 90.00, 90.00, 90.00 degrees
With the nearest neighbours (Å) after each atom.
Sites, in units of the cell vectors:
Ba: 0.0000 0.0000 0.0000  4 Te 3.83, 8 Sb 3.95
Ag: 0.5000 0.5000 0.5000  4 Sb 2.71, 2 Te 2.88
Sb: 0.0000 0.5000 0.5000  2 Ag 2.71
Sb: 0.5000 0.0000 0.5000  2 Ag 2.71
Te: 0.5000 0.5000 0.0000  2 Ag 2.88

---

Entry 2:
Below is Ac2La3Ni after structural relaxation, with properties calculated at the PBE-GGA level.

E_form (meV/atom): -62.6
Space group: No. 15
Crystal system: monoclinic

Cell lengths 9.2854, 9.2854, 7.2660 Å; angles 94.26, 94.26, 42.70 degrees
With the nearest neighbours (Å) after each atom.
Sites, in units of the cell vectors:
Ac: 0.1041 0.2832 0.1957  5 La 3.62-3.97, 1 Ni 3.75, 4 Ac 3.83-3.95
Ac: 0.2832 0.1041 0.6957  5 La 3.62-3.97, 1 Ni 3.75, 4 Ac 3.83-3.95
Ac: 0.7168 0.8959 0.3043  5 La 3.62-3.97, 1 Ni 3.75, 4 Ac 3.83-3.95
Ac: 0.8959 0.7168 0.8043  5 La 3.62-3.97, 1 Ni 3.75, 4 Ac 3.83-3.95
La: 0.0952 0.9048 0.2500  1 Ni 2.81
La: 0.3536 0.4339 0.4906  1 Ni 2.69
La: 0.4339 0.3536 0.9906  1 Ni 2.69
La: 0.5661 0.6464 0.0094  1 Ni 2.69
La: 0.6464 0.5661 0.5094  1 Ni 2.69
La: 0.9048 0.0952 0.7500  1 Ni 2.81
Ni: 0.3211 0.6789 0.7500  3 La 2.69-2.81
Ni: 0.6789 0.3211 0.2500  3 La 2.69-2.81

---

Entry 3:
Below is ScMnPb2Se5 after structural relaxation, with properties calculated at the PBE-GGA level.

Space group: No. 36
Crystal system: orthorhombic
Formation energy (no corrections) (eV per formula unit): -7.09

Cell lengths 9.2471, 9.2471, 13.0431 Å; angles 90.00, 90.00, 155.06 degrees
With the nearest neighbours (Å) after each atom.
Sites, in units of the cell vectors:
Sc: 0.2000 0.8000 0.5000  6 Se 2.68-2.80
Sc: 0.8000 0.2000 0.0000  6 Se 2.68-2.80
Mn: 0.4397 0.5603 0.9070  4 Se 2.38-2.44
Mn: 0.5603 0.4397 0.4070  4 Se 2.38-2.44
Pb: 0.1204 0.8796 0.7939  6 Se 3.00-3.21
Pb: 0.1320 0.8680 0.1443  3 Se 2.94-2.96
Pb: 0.8680 0.1320 0.6443  3 Se 2.94-2.96
Pb: 0.8796 0.1204 0.2939  6 Se 3.00-3.21
Se: 0.0452 0.9548 0.5117  2 Mn 2.43
Se: 0.2960 0.7040 0.1430  2 Sc 2.73, 1 Pb 2.96
Se: 0.3102 0.6898 0.8548  1 Mn 2.44
Se: 0.3480 0.6520 0.4815  1 Sc 2.68, 2 Pb 2.94
Se: 0.4986 0.5014 0.2455  1 Mn 2.38
Se: 0.5014 0.4986 0.7455  1 Mn 2.38
Se: 0.6520 0.3480 0.9815  1 Sc 2.68, 2 Pb 2.94
Se: 0.6898 0.3102 0.3548  1 Mn 2.44
Se: 0.7040 0.2960 0.6430  2 Sc 2.73, 1 Pb 2.96
Se: 0.9548 0.0452 0.0117  2 Mn 2.43

---

Entry 4:
Below is Ni12P7Pd2 after structural relaxation, with properties calculated at the PBE-GGA level.

E_form (meV/atom): -459.1
Space group: No. 174
Crystal system: hexagonal

Cell lengths 9.1692, 9.1692, 3.4246 Å; angles 90.00, 90.00, 120.00 degrees
With the nearest neighbours (Å) after each atom.
Sites, in units of the cell vectors:
Ni: 0.0449 0.2677 0.0000  4 P 2.19-2.31
Ni: 0.1116 0.7066 0.5000  4 P 2.20-2.32
Ni: 0.2228 0.9551 0.0000  4 P 2.19-2.31
Ni: 0.2934 0.4050 0.5000  4 P 2.20-2.32
Ni: 0.3935 0.1828 0.5000  4 P 2.17-2.30
Ni: 0.5362 0.4383 0.0000  5 P 2.35-2.54
Ni: 0.5617 0.0979 0.0000  5 P 2.35-2.54
Ni: 0.5950 0.8884 0.5000  4 P 2.20-2.32
Ni: 0.7323 0.7772 0.0000  4 P 2.19-2.31
Ni: 0.7893 0.6065 0.5000  4 P 2.17-2.30
Ni: 0.8172 0.2107 0.5000  4 P 2.17-2.30
Ni: 0.9021 0.4638 0.0000  5 P 2.35-2.54
P: 0.0774 0.4513 0.5000  7 Ni 2.20-2.39
P: 0.2545 0.2177 0.0000  7 Ni 2.19-2.35
P: 0.3739 0.9226 0.5000  7 Ni 2.20-2.39
P: 0.5487 0.6261 0.5000  7 Ni 2.20-2.39
P: 0.6667 0.3333 0.5000  3 Ni 2.17
P: 0.7823 0.0368 0.0000  7 Ni 2.19-2.35
P: 0.9632 0.7455 0.0000  7 Ni 2.19-2.35
Pd: 0.0000 0.0000 0.5000  6 P 2.78, 6 Ni 2.85
Pd: 0.3333 0.6667 0.0000  6 P 2.78, 6 Ni 2.82

---

Entry 5:
Below is LiScPa2S4 after structural relaxation, with properties calculated at the PBE-GGA level.

Space group: No. 10
Crystal system: monoclinic
Formation energy (no corrections) (eV per formula unit): -12.88

Cell lengths 6.3340, 3.6659, 6.9200 Å; angles 90.00, 107.73, 90.00 degrees
With the nearest neighbours (Å) after each atom.
Sites, in units of the cell vectors:
Li: 0.0000 0.0000 0.0000  6 S 2.56-2.58
Sc: 0.5000 0.5000 0.0000  6 S 2.58-2.59
Pa: 0.0000 0.5000 0.5000  6 S 2.78
Pa: 0.5000 0.0000 0.5000  6 S 2.79-2.80
S: 0.2406 0.5000 0.2248  2 Li 2.58, 1 Sc 2.58, 3 Pa 2.78-2.79
S: 0.2547 0.0000 0.7744  1 Li 2.56, 2 Sc 2.59, 3 Pa 2.78-2.80
S: 0.7453 0.0000 0.2256  1 Li 2.56, 2 Sc 2.59, 3 Pa 2.78-2.80
S: 0.7594 0.5000 0.7752  2 Li 2.58, 1 Sc 2.58, 3 Pa 2.78-2.79

---

Entry 6:
Below is CeTcOs after structural relaxation, with properties calculated at the PBE-GGA level.

E_form (meV/atom): -184.3
Space group: No. 74
Crystal system: orthorhombic

Cell lengths 5.4979, 5.4979, 5.4979 Å; angles 125.78, 119.78, 85.33 degrees
With the nearest neighbours (Å) after each atom.
Sites, in units of the cell vectors:
Ce: 0.3772 0.1272 0.2500  6 Os 3.04-3.31, 6 Tc 3.19-3.30, 2 Ce 3.20
Ce: 0.6228 0.8728 0.7500  6 Os 3.04-3.31, 6 Tc 3.19-3.30, 2 Ce 3.20
Tc: 0.0000 0.0000 0.5000  2 Tc 2.51, 4 Os 2.75
Tc: 0.0000 0.5000 0.0000  2 Tc 2.51, 4 Os 2.75
Os: 0.0000 0.5000 0.5000  4 Tc 2.75, 2 Os 2.76, 4 Ce 3.04
Os: 0.5000 0.5000 0.0000  4 Tc 2.75, 2 Os 2.76, 4 Ce 3.04

---

no.,DOS(E_F) (states/eV per atom),electronic total energy (eV/atom)
1,0.66,-3.45
2,1.27,-4.86
3,0.27,-5.27
4,0.75,-6.06
5,1.01,-7.08
6,1.28,-9.36